Ca6Cd5Bi: relaxed, PBE.

The raw total energy is -0.158 Ry/atom. The density of states at the Fermi level comes out at 12.27 states/eV per cell. For the total magnetization, the calculation gives 0.000 μB per atom. As for the formation energy: -0.4507 eV/atom. As for the crystal system: orthorhombic.

Lattice parameters (Å, degrees): 5.4744 7.6752 16.4384 90.00 90.00 90.00
Last column: nearest neighbours and their distance in Å.
Space group Immm (No. 71)
Asymmetric unit:
Ca (0.0000, 0.2474, 0.0000) x4  6 Cd 3.33-3.45, 2 Bi 3.35
Ca (0.0000, 0.2505, 0.3326) x8  7 Cd 3.24-3.35, 1 Bi 3.36
Cd (0.0000, 0.0000, 0.1665) x4  8 Ca 3.33-3.34
Cd (0.0000, 0.5000, 0.1735) x4  8 Ca 3.24-3.45
Cd (0.0000, 0.5000, 0.5000) x2  8 Ca 3.33-3.35
Bi (0.0000, 0.0000, 0.5000) x2  8 Ca 3.35-3.36